In2WBr | PBE | optimized geometry

Geometry as POSCAR:
```
In2WBr
1.0
5.5586 0.1146 0.0000
1.9404 5.2102 0.0000
-3.7495 -2.6624 3.1248
In W Br
2 1 1
direct
0.2500 0.7500 0.5000
0.0000 0.0000 0.0000
0.5000 0.5000 0.0000
0.7500 0.2500 0.5000
```

Output
Total DFT energy (no corrections) (eV per atom): -4.0153
Formation energy from raw total energies (eV/atom): 1.010
N(E_F) (states/eV/atom): 0.65